Computed, not measured: crystalline SbPb2Cl at its relaxed geometry at the PBE level of DFT.

Cell: 10.379 10.379 10.379 Å, 19.97 19.97 19.97°
Positions (direct):
Sb1 0.000 0.000 0.000
Pb1 0.245 0.245 0.245
Pb2 0.755 0.755 0.755
Cl1 0.500 0.500 0.500

Calculated values
VASP energy ... -3.624 eV/atom
Crystal system ... trigonal
Formation energy without anion corrections ... -0.2776 eV per atom
Symmetry ... R-3m, No. 166
Energy above the most stable polymorph in this dataset ... 147 meV/atom
DOS(E_F) ... 0.82 states/eV per cell

=====

Computed, not measured: crystalline Pu2NpGe4Pt3 at its relaxed geometry at the PBE level of DFT.

Cell: 4.258 4.258 11.415 Å, 90.00 90.00 90.00°
Positions (direct):
Pu1 0.000 0.500 0.245
Pu2 0.500 0.000 0.755
Np1 0.000 0.000 0.500
Ge1 0.000 0.000 0.000
Ge2 0.000 0.500 0.667
Ge3 0.500 0.000 0.333
Ge4 0.500 0.500 0.000
Pt1 0.000 0.500 0.881
Pt2 0.500 0.000 0.119
Pt3 0.500 0.500 0.500

Calculated values
VASP energy ... -8.330 eV/atom
Crystal system ... tetragonal
Symmetry ... P-4m2, No. 115
Calculated formation energy ... -510 meV per atom
DOS(E_F) ... 29.39 states/eV per cell

=====

Computed, not measured: crystalline Tm2CuRh at its relaxed geometry at the PBE level of DFT.

Cell: 4.785 4.785 3.440 Å, 90.00 90.00 90.00°
Positions (direct):
Tm1 0.000 0.500 0.000
Tm2 0.500 0.000 0.000
Cu1 0.000 0.000 0.500
Rh1 0.500 0.500 0.500

Calculated values
VASP energy ... -5.719 eV/atom
Crystal system ... tetragonal
Symmetry ... P4/mmm, No. 123
Calculated formation energy ... -621 meV per atom
DOS(E_F) ... 2.51 states/eV per cell

=====

Computed, not measured: crystalline YSiMo at its relaxed geometry at the PBE level of DFT.

Cell: 5.586 5.586 5.586 Å, 144.61 144.61 50.91°
Positions (direct):
Y1 0.000 0.000 0.000
Si1 0.295 0.295 0.000
Mo1 0.704 0.704 0.000

Calculated values
VASP energy ... -7.793 eV/atom
Crystal system ... tetragonal
Formation energy without anion corrections ... -0.2201 eV per atom
Symmetry ... I4mm, No. 107
DOS(E_F) ... 2.99 states/eV per cell

=====

Computed, not measured: crystalline La2ZnNi at its relaxed geometry at the PBE level of DFT.

Cell: 3.449 3.449 8.228 Å, 90.00 90.00 90.00°
Positions (direct):
La1 0.000 0.000 0.000
La2 0.500 0.500 0.396
Zn1 0.500 0.500 0.754
Ni1 0.000 0.000 0.620

Calculated values
VASP energy ... -4.331 eV/atom
Crystal system ... tetragonal
Symmetry ... P4mm, No. 99
Calculated formation energy ... -104 meV per atom
DOS(E_F) ... 4.22 states/eV per cell

=====

Computed, not measured: crystalline HfVWSe2 at its relaxed geometry at the PBE level of DFT.

Cell: 5.007 5.007 4.830 Å, 90.00 90.00 90.00°
Positions (direct):
Hf1 0.000 0.000 0.000
V1 0.000 0.000 0.500
W1 0.500 0.500 0.500
Se1 0.000 0.500 0.000
Se2 0.500 0.000 0.000

Calculated values
VASP energy ... -6.333 eV/atom
Crystal system ... tetragonal
Formation energy without anion corrections ... 1.4658 eV per atom
Symmetry ... P4/mmm, No. 123
DOS(E_F) ... 6.35 states/eV per cell

=====

Computed, not measured: crystalline MgZnAgBi at its relaxed geometry at the PBE level of DFT.

Cell: 5.005 5.005 5.005 Å, 60.00 60.00 60.00°
Positions (direct):
Mg1 0.000 0.000 0.000
Zn1 0.250 0.250 0.250
Ag1 0.750 0.750 0.750
Bi1 0.500 0.500 0.500

Calculated values
VASP energy ... -2.335 eV/atom
Crystal system ... cubic
Symmetry ... F-43m, No. 216
Calculated formation energy ... 65 meV per atom
DOS(E_F) ... 2.60 states/eV per cell

=====

Computed, not measured: crystalline NaAlB3 at its relaxed geometry at the PBE level of DFT.

Cell: 4.330 4.330 4.330 Å, 90.00 90.00 90.00°
Positions (direct):
Na1 0.000 0.000 0.000
Al1 0.500 0.500 0.500
B1 0.000 0.000 0.500
B2 0.000 0.500 0.000
B3 0.500 0.000 0.000

Calculated values
VASP energy ... -2.324 eV/atom
Crystal system ... cubic
Symmetry ... Pm-3m, No. 221
Calculated formation energy ... 2695 meV per atom
Energy above the most stable polymorph in this dataset ... 1156 meV/atom
DOS(E_F) ... 2.74 states/eV per cell

=====

Computed, not measured: crystalline Nd3Ge2Pb at its relaxed geometry at the PBE level of DFT.

Cell: 8.773 8.773 4.778 Å, 90.00 90.00 153.16°
Positions (direct):
Nd1 0.000 0.000 0.000
Nd2 0.166 0.834 0.500
Nd3 0.834 0.166 0.500
Ge1 0.306 0.694 0.000
Ge2 0.694 0.306 0.000
Pb1 0.500 0.500 0.500

Calculated values
VASP energy ... -5.105 eV/atom
Crystal system ... orthorhombic
Symmetry ... Cmmm, No. 65
Calculated formation energy ... -564 meV per atom
DOS(E_F) ... 3.55 states/eV per cell

=====

Computed, not measured: crystalline NiAs2Br at its relaxed geometry at the PBE level of DFT.

Cell: 4.346 3.511 6.789 Å, 90.00 101.60 90.00°
Positions (direct):
Ni1 0.000 0.000 0.000
As1 0.241 0.500 0.268
As2 0.546 0.000 0.138
Br1 0.897 0.500 0.752

Calculated values
VASP energy ... -4.255 eV/atom
Crystal system ... monoclinic
Formation energy without anion corrections ... -0.0672 eV per atom
Symmetry ... Pm, No. 6
Energy above the most stable polymorph in this dataset ... 111 meV/atom
DOS(E_F) ... 3.91 states/eV per cell

=====

Computed, not measured: crystalline TcBSe2N at its relaxed geometry at the PBE level of DFT.

Cell: 5.019 5.019 3.683 Å, 90.00 90.00 90.00°
Positions (direct):
Tc1 0.000 0.000 0.000
B1 0.500 0.500 0.500
Se1 0.000 0.500 0.000
Se2 0.500 0.000 0.000
N1 0.000 0.000 0.500

Calculated values
VASP energy ... -5.355 eV/atom
Crystal system ... tetragonal
Formation energy without anion corrections ... 1.1121 eV per atom
Symmetry ... P4/mmm, No. 123
Energy above the most stable polymorph in this dataset ... 539 meV/atom
DOS(E_F) ... 3.80 states/eV per cell

=====

Computed, not measured: crystalline Sr2YGeP at its relaxed geometry at the PBE level of DFT.

Cell: 6.477 6.477 5.127 Å, 90.00 90.00 90.00°
Positions (direct):
Sr1 0.000 0.500 0.000
Sr2 0.500 0.000 0.000
Y1 0.000 0.000 0.000
Ge1 0.000 0.000 0.500
P1 0.500 0.500 0.500

Calculated values
VASP energy ... -3.141 eV/atom
Crystal system ... tetragonal
Symmetry ... P4/mmm, No. 123
Calculated formation energy ... 830 meV per atom
DOS(E_F) ... 4.91 states/eV per cell

=====

Computed, not measured: crystalline BeSi2NiC at its relaxed geometry at the PBE level of DFT.

Cell: 3.973 3.973 3.770 Å, 90.00 90.00 90.00°
Positions (direct):
Be1 0.000 0.000 0.000
Si1 0.000 0.500 0.500
Si2 0.500 0.000 0.500
Ni1 0.500 0.500 0.000
C1 0.500 0.500 0.500

Calculated values
VASP energy ... -5.098 eV/atom
Crystal system ... tetragonal
Formation energy without anion corrections ... 0.8172 eV per atom
Symmetry ... P4/mmm, No. 123
DOS(E_F) ... 2.62 states/eV per cell

=====

Computed, not measured: crystalline Sc4ZnIrPt2 at its relaxed geometry at the PBE level of DFT.

Cell: 8.095 8.095 8.095 Å, 33.36 33.36 33.36°
Positions (direct):
Sc1 0.122 0.122 0.122
Sc2 0.372 0.372 0.372
Sc3 0.628 0.628 0.628
Sc4 0.878 0.878 0.878
Zn1 0.500 0.500 0.500
Ir1 0.000 0.000 0.000
Pt1 0.249 0.249 0.249
Pt2 0.751 0.751 0.751

Calculated values
VASP energy ... -6.934 eV/atom
Crystal system ... trigonal
Symmetry ... R-3m, No. 166
Calculated formation energy ... -991 meV per atom
DOS(E_F) ... 3.88 states/eV per cell

=====

Computed, not measured: crystalline VBRh4 at its relaxed geometry at the PBE level of DFT.

Cell: 6.162 6.162 4.595 Å, 100.79 100.79 110.46°
Positions (direct):
V1 0.121 0.879 0.750
V2 0.879 0.121 0.250
B1 0.498 0.502 0.750
B2 0.502 0.498 0.250
Rh1 0.121 0.292 0.854
Rh2 0.220 0.558 0.443
Rh3 0.292 0.121 0.354
Rh4 0.442 0.780 0.057
Rh5 0.558 0.220 0.943
Rh6 0.708 0.879 0.646
Rh7 0.780 0.442 0.557
Rh8 0.879 0.708 0.146

Calculated values
VASP energy ... -7.796 eV/atom
Crystal system ... monoclinic
Symmetry ... C2/c, No. 15
Calculated formation energy ... -262 meV per atom
DOS(E_F) ... 10.05 states/eV per cell

=====

Computed, not measured: crystalline Tl3Tc at its relaxed geometry at the PBE level of DFT.

Cell: 3.258 3.258 10.653 Å, 90.00 90.00 120.00°
Positions (direct):
Tl1 0.000 0.000 0.000
Tl2 0.667 0.333 0.290
Tl3 0.667 0.333 0.710
Tc1 0.000 0.000 0.500

Calculated values
VASP energy ... -3.794 eV/atom
Crystal system ... hexagonal
Symmetry ... P-6m2, No. 187
Calculated formation energy ... 572 meV per atom
Energy above the most stable polymorph in this dataset ... 174 meV/atom
DOS(E_F) ... 3.97 states/eV per cell